w.
A relaxed Pt13Rh3 crystal, computed with PBE.

Properties
M_tot = 0.0 μB per cell
space group = Amm2 (38)

Unit cell a=5.6156 b=5.6156 c=7.8041 alpha=90.00 beta=90.00 gamma=90.06
With the nearest neighbours (Å) after each atom.
Fractional coordinates of all 16 atoms:
Pt  0.2476  0.2478  0.5000  10 Pt 2.78-2.83, 2 Rh 2.78
Pt  0.9988  0.4989  0.7517  3 Rh 2.77-2.82, 9 Pt 2.77-2.82
Pt  0.5010  0.4990  0.7518  11 Pt 2.79-2.82, 1 Rh 2.79
Pt  0.2482  0.7518  0.0000  2 Rh 2.77, 10 Pt 2.78-2.83
Pt  0.9988  0.4989  0.2483  3 Rh 2.77-2.82, 9 Pt 2.77-2.82
Pt  0.2477  0.7523  0.5000  10 Pt 2.78-2.83, 2 Rh 2.79
Pt  0.5011  0.0012  0.2483  3 Rh 2.77-2.82, 9 Pt 2.77-2.82
Pt  0.7522  0.7520  0.0000  4 Rh 2.76-2.84, 8 Pt 2.77-2.83
Pt  0.2480  0.2478  0.0000  4 Rh 2.76-2.84, 8 Pt 2.77-2.83
Pt  0.5010  0.4990  0.2482  11 Pt 2.79-2.82, 1 Rh 2.79
Pt  0.5011  0.0012  0.7517  3 Rh 2.77-2.82, 9 Pt 2.77-2.82
Pt  0.7522  0.7524  0.5000  10 Pt 2.78-2.83, 2 Rh 2.78
Pt  0.7520  0.2480  0.5000  2 Rh 2.78, 10 Pt 2.78-2.83
Rh  0.9987  0.0013  0.2474  1 Rh 2.75, 11 Pt 2.76-2.82
Rh  0.9987  0.0013  0.7526  1 Rh 2.75, 11 Pt 2.76-2.82
Rh  0.7530  0.2470  0.0000  2 Rh 2.75, 10 Pt 2.77-2.84

***

x.
A relaxed Pt13Rh3 crystal, computed with PBE.

Properties
M_tot = 0.0 μB per cell
space group = Amm2 (38)

Unit cell a=6.7620 b=6.7620 c=5.4540 alpha=90.00 beta=90.00 gamma=89.99
With the nearest neighbours (Å) after each atom.
Fractional coordinates of all 16 atoms:
Pt  0.5019  0.0013  0.7510  9 Pt 2.72-2.77, 1 Rh 2.74
Pt  0.2472  0.2465  0.0000  2 Rh 2.72, 8 Pt 2.73-2.78
Pt  0.2466  0.7534  0.5000  8 Pt 2.73-2.79, 2 Rh 2.75
Pt  0.2463  0.7537  0.0000  8 Pt 2.73-2.79, 2 Rh 2.74
Pt  0.5013  0.4987  0.2494  9 Pt 2.72-2.79, 1 Rh 2.77
Pt  0.7537  0.7530  0.5000  8 Pt 2.73-2.78, 2 Rh 2.73
Pt  0.2470  0.2463  0.5000  8 Pt 2.73-2.78, 2 Rh 2.73
Pt  0.9987  0.4981  0.7510  9 Pt 2.72-2.77, 1 Rh 2.74
Pt  0.9987  0.4981  0.2490  9 Pt 2.72-2.77, 1 Rh 2.74
Pt  0.7535  0.7528  0.0000  2 Rh 2.72, 8 Pt 2.73-2.78
Pt  0.5013  0.4987  0.7506  9 Pt 2.72-2.79, 1 Rh 2.77
Pt  0.5019  0.0013  0.2490  9 Pt 2.72-2.77, 1 Rh 2.74
Pt  0.7531  0.2469  0.5000  4 Rh 2.71-2.73, 6 Pt 2.74-2.77
Rh  0.9976  0.0024  0.2487  3 Rh 2.70-2.74, 7 Pt 2.71-2.75
Rh  0.9976  0.0024  0.7513  3 Rh 2.70-2.74, 7 Pt 2.71-2.75
Rh  0.7533  0.2467  0.0000  2 Rh 2.70, 8 Pt 2.73-2.77

***

The structure with the greatest stability is w.

***

w.
A relaxed RuPt2Rh4 crystal, computed with PBE.

Properties
M_tot = 0.0 μB per cell
space group = R-3m (166)

Unit cell a=2.7184 b=2.7184 c=16.4320 alpha=85.26 beta=85.26 gamma=60.00
With the nearest neighbours (Å) after each atom.
Fractional coordinates of all 7 atoms:
Ru  0.0000  0.0000  0.0000  6 Rh 2.66, 6 Ru 2.72
Pt  0.2364  0.2364  0.2909  4 Rh 2.61-2.79, 6 Pt 2.72
Pt  0.7636  0.7636  0.7091  4 Rh 2.61-2.79, 6 Pt 2.72
Rh  0.2895  0.2895  0.1315  1 Pt 2.61, 3 Ru 2.66, 6 Rh 2.72
Rh  0.1441  0.1441  0.5678  9 Rh 2.72, 3 Pt 2.79
Rh  0.8559  0.8559  0.4322  9 Rh 2.72, 3 Pt 2.79
Rh  0.7105  0.7105  0.8685  1 Pt 2.61, 3 Ru 2.66, 6 Rh 2.72

***

x.
A relaxed RuPt2Rh4 crystal, computed with PBE.

Properties
M_tot = 0.0 μB per cell
space group = Cmcm (63)

Unit cell a=2.7104 b=6.3073 c=12.9781 alpha=90.00 beta=90.00 gamma=102.41
With the nearest neighbours (Å) after each atom.
Fractional coordinates of all 14 atoms:
Pt  0.1362  0.2724  0.3741  1 Ru 2.57, 6 Rh 2.59-2.78, 2 Pt 2.71
Pt  0.8638  0.7276  0.6259  1 Ru 2.57, 6 Rh 2.59-2.78, 2 Pt 2.71
Pt  0.1362  0.2724  0.1259  1 Ru 2.57, 6 Rh 2.59-2.78, 2 Pt 2.71
Pt  0.8638  0.7276  0.8741  1 Ru 2.57, 6 Rh 2.59-2.78, 2 Pt 2.71
Rh  0.1729  0.3459  0.5789  2 Ru 2.63, 3 Pt 2.70-2.78, 5 Rh 2.71-2.85
Rh  0.8271  0.6541  0.4211  2 Ru 2.63, 3 Pt 2.70-2.78, 5 Rh 2.71-2.85
Rh  0.1729  0.3459  0.9211  2 Ru 2.63, 3 Pt 2.70-2.78, 5 Rh 2.71-2.85
Rh  0.5000  0.0000  0.5000  4 Pt 2.71, 6 Rh 2.71-2.72
Rh  0.9715  0.9430  0.2500  2 Ru 2.53, 2 Pt 2.59, 2 Rh 2.71
Rh  0.8271  0.6541  0.0789  2 Ru 2.63, 3 Pt 2.70-2.78, 5 Rh 2.71-2.85
Rh  0.5000  0.0000  0.0000  4 Pt 2.71, 6 Rh 2.71-2.72
Rh  0.0285  0.0570  0.7500  2 Ru 2.53, 2 Pt 2.59, 2 Rh 2.71
Ru  0.2983  0.5967  0.2500  6 Rh 2.53-2.63, 2 Pt 2.57, 2 Ru 2.71
Ru  0.7017  0.4033  0.7500  6 Rh 2.53-2.63, 2 Pt 2.57, 2 Ru 2.71

***

The structure with the greatest stability is w.